VASP calculation (GGA-PBE) on a relaxed YHoPtAu crystal.

Unit cell a=4.5881 b=3.7615 c=10.6957 alpha=90.00 beta=90.00 gamma=90.00
With the nearest neighbours (Å) after each atom.
Fractional positions:
Y1 0.0000 0.0000 0.0000  3 Pt 2.90-3.08, 4 Au 3.02
Y2 0.0000 0.5000 0.5000  3 Pt 2.90-3.08, 4 Au 3.02
Ho1 0.5000 0.0000 0.7236  3 Au 2.95-3.05, 4 Pt 3.01
Ho2 0.5000 0.5000 0.2236  3 Au 2.95-3.05, 4 Pt 3.01
Pt1 0.0000 0.0000 0.2715  3 Y 2.90-3.08, 2 Au 2.97, 4 Ho 3.01
Pt2 0.0000 0.5000 0.7715  3 Y 2.90-3.08, 2 Au 2.97, 4 Ho 3.01
Au1 0.5000 0.0000 0.4475  3 Ho 2.95-3.05, 2 Pt 2.97, 4 Y 3.02
Au2 0.5000 0.5000 0.9475  3 Ho 2.95-3.05, 2 Pt 2.97, 4 Y 3.02

Computed properties:
ΔE_f, eV/atom: -1.089
Offset from the most stable computed form, kcal/mol of atoms: 0.000
Spin magnetization, μB/atom: 0.00
N(E_F), states/eV/cell: 4.20